The following is a GGA-PBE calculation of Ag3PRu after structural relaxation, from the Alexandria database.

Geometry as POSCAR:
```
Ag3PRu
1.0
4.643 0.000 0.000
0.000 4.643 0.000
0.000 0.000 4.643
Ru Ag P
1 3 1
Cartesian
2.321 2.321 2.321
0.000 2.321 0.000
0.000 0.000 2.321
2.321 0.000 0.000
0.000 0.000 0.000
```

Results
- spin magnetization (μB/atom) = 0.4194
- space group = No. 221
- calculated formation energy (kcal/mol of atoms) = 21.1



The following is a GGA-PBE calculation of AgP2Ru after structural relaxation, from the Alexandria database.

Geometry as POSCAR:
```
AgP2Ru
1.0
-2.202 4.223 0.253
-2.473 -1.198 -1.527
-2.986 -1.735 2.980
Ag P Ru
1 2 1
Cartesian
-3.571 0.685 2.438
-2.371 -1.158 -1.317
-2.611 1.309 0.371
-1.836 -1.014 0.940
```

Results
- spin magnetization (μB/atom) = 0.0000
- space group = No. 6
- calculated formation energy (kcal/mol of atoms) = 2.3



The following is a GGA-PBE calculation of Ag4PRu after structural relaxation, from the Alexandria database.

Geometry as POSCAR:
```
Ag4PRu
1.0
-1.238 0.049 5.231
-0.053 4.644 2.706
-4.668 2.103 1.637
Ag P Ru
4 1 1
Cartesian
-2.854 2.573 6.207
-4.570 3.601 4.408
-2.261 4.872 4.943
-2.234 2.548 3.589
-4.469 5.098 7.180
0.000 0.000 0.000
```

Results
- spin magnetization (μB/atom) = 0.3538
- space group = No. 216
- calculated formation energy (kcal/mol of atoms) = 18.2



The following is a GGA-PBE calculation of AgP2Ru after structural relaxation, from the Alexandria database.

Geometry as POSCAR:
```
AgP2Ru
1.0
-7.475 0.764 2.988
-8.017 -0.893 0.565
-7.137 -2.200 3.101
Ag P Ru
1 2 1
Cartesian
-16.973 -1.747 4.990
-22.398 -2.305 6.585
-11.547 -1.189 3.395
-5.658 -0.582 1.663
```

Results
- spin magnetization (μB/atom) = 0.0000
- space group = No. 166
- calculated formation energy (kcal/mol of atoms) = 0.2



The following is a GGA-PBE calculation of AgP4Ru after structural relaxation, from the Alexandria database.

Geometry as POSCAR:
```
AgP4Ru
1.0
0.000 3.561 3.561
3.561 0.000 3.561
3.561 3.561 0.000
Ag P Ru
1 4 1
Cartesian
0.000 0.000 0.000
2.645 4.478 4.478
4.478 4.478 2.645
4.478 2.645 4.478
2.645 2.645 2.645
5.342 5.342 5.342
```

Results
- spin magnetization (μB/atom) = 0.0000
- space group = No. 216
- calculated formation energy (kcal/mol of atoms) = 18.2



The following is a GGA-PBE calculation of AgP2Ru after structural relaxation, from the Alexandria database.

Geometry as POSCAR:
```
AgP2Ru
1.0
4.401 0.000 0.000
2.201 3.812 0.000
2.201 1.271 3.594
Ag P Ru
1 2 1
Cartesian
4.401 2.541 1.797
0.000 0.000 0.000
6.602 3.812 2.695
2.201 1.271 0.898
```

Results
- spin magnetization (μB/atom) = 0.0003
- space group = No. 216
- calculated formation energy (kcal/mol of atoms) = 16.2



The following is a GGA-PBE calculation of AgP2Ru after structural relaxation, from the Alexandria database.

Geometry as POSCAR:
```
AgP2Ru
1.0
2.873 0.000 0.000
0.000 2.897 -0.121
0.000 0.326 7.652
Ag P Ru
1 2 1
Cartesian
1.436 2.417 5.648
0.000 2.192 0.340
0.000 2.316 3.304
1.436 0.806 1.883
```

Results
- spin magnetization (μB/atom) = 0.0000
- space group = No. 47
- calculated formation energy (kcal/mol of atoms) = 0.6



The following is a GGA-PBE calculation of AgP2Ru2 after structural relaxation, from the Alexandria database.

Geometry as POSCAR:
```
AgP2Ru2
1.0
-1.347 0.989 3.255
-3.027 -1.948 -0.660
0.227 -5.038 3.681
Ru Ag P
2 1 2
Cartesian
-1.582 -1.621 1.895
-2.565 -4.375 4.381
0.000 0.000 0.000
-1.653 -2.264 4.117
-2.493 -3.732 2.159
```

Results
- spin magnetization (μB/atom) = 0.0000
- space group = No. 139
- calculated formation energy (kcal/mol of atoms) = -4.4



The following is a GGA-PBE calculation of AgP2Ru after structural relaxation, from the Alexandria database.

Geometry as POSCAR:
```
AgP2Ru
1.0
-3.810 -1.507 -5.202
0.410 -3.347 -5.699
0.502 0.783 6.557
Ag P Ru
1 2 1
Cartesian
-0.596 -2.784 -2.945
-3.302 -4.713 -10.585
-2.288 -1.266 -1.354
-1.813 -2.588 -5.813
```

Results
- spin magnetization (μB/atom) = 0.0000
- space group = No. 44
- calculated formation energy (kcal/mol of atoms) = 0.7



The following is a GGA-PBE calculation of AgP2Ru after structural relaxation, from the Alexandria database.

Geometry as POSCAR:
```
AgP2Ru
1.0
2.828 -0.001 0.000
-1.117 2.598 0.000
0.000 0.000 8.676
Ag P Ru
1 2 1
Cartesian
0.855 1.298 6.507
0.000 0.000 0.006
0.855 1.298 2.443
0.000 0.000 4.056
```

Results
- spin magnetization (μB/atom) = 0.0000
- space group = No. 35
- calculated formation energy (kcal/mol of atoms) = 9.5



The following is a GGA-PBE calculation of AgP2Ru2 after structural relaxation, from the Alexandria database.

Geometry as POSCAR:
```
AgP2Ru2
1.0
-6.728 -0.821 -1.811
1.739 -5.525 -3.957
-0.391 -1.724 2.235
Ru Ag P
4 2 4
Cartesian
-0.046 -4.541 -1.694
-3.043 -6.118 -3.435
-5.334 -3.529 -1.839
-2.337 -1.951 -0.098
0.000 0.000 0.000
-2.494 -3.173 -2.884
-0.904 -5.019 -4.030
-4.635 -4.263 -4.099
-4.084 -1.327 -1.738
-0.353 -2.083 -1.669
```

Results
- spin magnetization (μB/atom) = 0.0000
- space group = No. 127
- calculated formation energy (kcal/mol of atoms) = -2.9



The following is a GGA-PBE calculation of AgP2Ru after structural relaxation, from the Alexandria database.

Geometry as POSCAR:
```
AgP2Ru
1.0
-1.092 -3.939 0.753
1.912 -3.534 1.063
-0.582 0.243 5.320
Ag P Ru
1 2 1
Cartesian
0.060 -1.807 1.784
-0.533 0.092 5.048
0.071 -3.464 3.839
0.179 -5.422 5.351
```

Results
- spin magnetization (μB/atom) = 0.0000
- space group = No. 12
- calculated formation energy (kcal/mol of atoms) = 1.8